1.
Below is KY2Sb2 after structural relaxation, with properties calculated at the PBE level.

## Properties
E_form (uncorrected) ... -0.687 eV/atom
Total magnetization ... 0.8 μB per formula unit
Excess energy over the best structure of this formula in the dataset ... 3.3 meV/atom

Cell lengths 8.180, 8.180, 8.180 Å; angles 143.11, 143.11, 53.16 degrees
Atoms (fractional coordinates):
1 K 0.000 0.000 0.000
2 Y 0.250 0.750 0.500
3 Y 0.750 0.250 0.500
4 Sb 0.362 0.362 0.000
5 Sb 0.638 0.638 0.000

***

2.
Below is Er3ZnCu3 after structural relaxation, with properties calculated at the PBE level.

## Properties
Calculated total energy ... -4.160 eV per atom
Total magnetization ... 0.0 μB per formula unit

Cell lengths 5.476, 5.476, 14.168 Å; angles 107.18, 107.18, 44.43 degrees
Atoms (fractional coordinates):
1 Er 0.035 0.035 0.389
2 Er 0.107 0.107 0.923
3 Er 0.245 0.245 0.231
4 Er 0.755 0.755 0.769
5 Er 0.893 0.893 0.077
6 Er 0.965 0.965 0.611
7 Zn 0.257 0.257 0.605
8 Zn 0.743 0.743 0.395
9 Cu 0.371 0.371 0.455
10 Cu 0.396 0.396 0.923
11 Cu 0.466 0.466 0.767
12 Cu 0.534 0.534 0.233
13 Cu 0.604 0.604 0.077
14 Cu 0.629 0.629 0.545

***

3.
Below is Na3Cu2I2Cl4 after structural relaxation, with properties calculated at the PBE level.

## Properties
E_form (uncorrected) ... -0.983 eV/atom
Total magnetization ... 0.0 μB per formula unit

Cell lengths 13.500, 13.500, 13.500 Å; angles 160.11, 160.11, 28.28 degrees
Atoms (fractional coordinates):
1 Na 0.000 0.000 0.000
2 Na 0.169 0.169 0.000
3 Na 0.831 0.831 0.000
4 Cu 0.410 0.410 0.000
5 Cu 0.590 0.590 0.000
6 I 0.306 0.306 0.000
7 I 0.694 0.694 0.000
8 Cl 0.071 0.571 0.500
9 Cl 0.429 0.929 0.500
10 Cl 0.571 0.071 0.500
11 Cl 0.929 0.429 0.500

***

4.
Below is TmZrInPb after structural relaxation, with properties calculated at the PBE level.

## Properties
Calculated total energy ... -5.018 eV per atom
Total magnetization ... 0.9 μB per formula unit

Cell lengths 5.208, 5.208, 5.208 Å; angles 60.00, 60.00, 60.00 degrees
Atoms (fractional coordinates):
1 Tm 0.000 0.000 0.000
2 Zr 0.500 0.500 0.500
3 In 0.750 0.750 0.750
4 Pb 0.250 0.250 0.250